A relaxed structure of Tb4Er3ThSe8, computed with PBE-GGA.

CIF file:
```
data_Tb4Er3ThSe8
_chemical_formula_sum 'Tb12 Er9 Th3 Se24'
_cell_length_a 8.1932
_cell_length_b 8.1932
_cell_length_c 19.9901
_cell_angle_alpha 90.00
_cell_angle_beta 90.00
_cell_angle_gamma 120.00
_space_group_name_H-M_alt 'R -3 m'
_space_group_IT_number 166
_space_group_name_Hall '-R 3 2"'
loop_
_atom_site_label
_atom_site_type_symbol
_atom_site_fract_x
_atom_site_fract_y
_atom_site_fract_z
_atom_site_occupancy
Tb1 Tb 0.0000 0.0000 0.0000 1
Tb2 Tb 0.0000 0.5000 0.0000 1
Er1 Er 0.0000 0.5000 0.5000 1
Th1 Th 0.0000 0.0000 0.5000 1
Se1 Se 0.0000 0.0000 0.2480 1
Se2 Se 0.0078 0.5039 0.7501 1
```

## Properties
**D(E_F)**: 32.57 states/eV per cell
**ΔE_f (raw)**: -164 kJ/mol of atoms
**Total energy**: -94.70 eV/f.u.
**Total magnetization**: 0.000 μB per formula unit